# 1
VASP calculation (PBE-GGA) on a geometry-optimized PS2BrN structure.

Cell and atoms, written as CIF:
```
data_PS2BrN
_cell_length_a 4.8905
_cell_length_b 4.8905
_cell_length_c 5.1548
_cell_angle_alpha 90.00
_cell_angle_beta 90.00
_cell_angle_gamma 90.00
_space_group_name_H-M_alt 'P 4/m m m'
_space_group_IT_number 123
_space_group_name_Hall '-P 4 2'
loop_
_atom_site_label
_atom_site_type_symbol
_atom_site_fract_x
_atom_site_fract_y
_atom_site_fract_z
P1 P 0.0000 0.0000 0.0000
S1 S 0.0000 0.5000 0.5000
Br1 Br 0.0000 0.0000 0.5000
N1 N 0.5000 0.5000 0.0000
```

Calculated values
D(E_F) = 0.548 states/eV/atom
ρ = 2.546 Mg/m³
Raw formation energy = 11.39 eV per formula unit
E_tot = -0.18038 Ry/atom
Distance to the lowest polymorph of the same formula = 1396.6 meV/atom
Total magnetization = 1.40 μB/cell

# 2
VASP calculation (PBE-GGA) on a geometry-optimized Co2Re2Pt structure.

Cell and atoms, written as CIF:
```
data_Co2Re2Pt
_cell_length_a 7.0919
_cell_length_b 7.0919
_cell_length_c 2.6649
_cell_angle_alpha 90.00
_cell_angle_beta 90.00
_cell_angle_gamma 90.00
_space_group_name_H-M_alt 'P 4/m b m'
_space_group_IT_number 127
_space_group_name_Hall '-P 4 2ab'
loop_
_atom_site_label
_atom_site_type_symbol
_atom_site_fract_x
_atom_site_fract_y
_atom_site_fract_z
Co1 Co 0.1218 0.3782 0.0000
Re1 Re 0.1721 0.6721 0.5000
Pt1 Pt 0.0000 0.0000 0.0000
```

Calculated values
D(E_F) = 0.754 states/eV/atom
ρ = 16.982 Mg/m³
Calculated formation energy = 0.092 eV/atom
E_tot = -0.65689 Ry/atom
Total magnetization = 0.15 μB/cell

# 3
VASP calculation (PBE-GGA) on a geometry-optimized TiIn2Au structure.

Cell and atoms, written as CIF:
```
data_TiIn2Au
_cell_length_a 4.3578
_cell_length_b 4.3578
_cell_length_c 4.1310
_cell_angle_alpha 90.00
_cell_angle_beta 90.00
_cell_angle_gamma 90.00
_space_group_name_H-M_alt 'P 4/m m m'
_space_group_IT_number 123
_space_group_name_Hall '-P 4 2'
loop_
_atom_site_label
_atom_site_type_symbol
_atom_site_fract_x
_atom_site_fract_y
_atom_site_fract_z
Ti1 Ti 0.0000 0.0000 0.0000
In1 In 0.0000 0.5000 0.5000
Au1 Au 0.5000 0.5000 0.0000
```

Calculated values
D(E_F) = 0.579 states/eV/atom
ρ = 10.043 Mg/m³
Calculated formation energy = -0.206 eV/atom
E_tot = -0.32109 Ry/atom
Distance to the lowest polymorph of the same formula = 0.0 meV/atom
Total magnetization = 0.00 μB/cell

# 4
VASP calculation (PBE-GGA) on a geometry-optimized K3Zn2InF9 structure.

Cell and atoms, written as CIF:
```
data_K3Zn2InF9
_cell_length_a 6.0204
_cell_length_b 6.0204
_cell_length_c 7.4663
_cell_angle_alpha 90.00
_cell_angle_beta 90.00
_cell_angle_gamma 120.00
_space_group_name_H-M_alt 'P -3 m 1'
_space_group_IT_number 164
_space_group_name_Hall '-P 3 2"'
loop_
_atom_site_label
_atom_site_type_symbol
_atom_site_fract_x
_atom_site_fract_y
_atom_site_fract_z
K1 K 0.0000 0.0000 0.0000
K2 K 0.3333 0.6667 0.6829
Zn1 Zn 0.3333 0.6667 0.1557
In1 In 0.0000 0.0000 0.5000
F1 F 0.0000 0.5000 0.0000
F2 F 0.1731 0.3461 0.3193
```

Calculated values
D(E_F) = 0.140 states/eV/atom
ρ = 3.783 Mg/m³
Raw formation energy = -37.26 eV per formula unit
E_tot = -0.30712 Ry/atom
Total magnetization = 0.00 μB/cell